Entry 1:
MgFeSbPd | PBE | relaxed

abc: 4.528 4.528 4.528
angles: 60.00 60.00 60.00
Sites, in units of the cell vectors:
Fe (0.750, 0.750, 0.750)
Mg (0.500, 0.500, 0.500)
Pd (0.250, 0.250, 0.250)
Sb (0.000, 0.000, 0.000)

SG: F-43m
Distance to the lowest polymorph of the same formula (kJ/mol of formula units): 0



Entry 2:
MgFeSnPd | PBE | relaxed

abc: 4.516 4.516 4.516
angles: 60.00 60.00 60.00
Sites, in units of the cell vectors:
Fe (0.750, 0.750, 0.750)
Mg (0.500, 0.500, 0.500)
Pd (0.250, 0.250, 0.250)
Sn (0.000, 0.000, 0.000)

SG: F-43m
Distance to the lowest polymorph of the same formula (kJ/mol of formula units): 0